[1]
# PBE-GGA TcAg2Os, relaxed
# - Excess energy over the best structure of this formula in the dataset: 168 meV per atom
# - Energy relative to the elements: 1.72 eV per formula unit
data_TcAg2Os
_cell_length_a 3.9004
_cell_length_b 2.7931
_cell_length_c 6.5499
_cell_angle_alpha 65.01
_cell_angle_beta 90.00
_cell_angle_gamma 90.00
_symmetry_space_group_name_H-M 'P 1'
_symmetry_Int_Tables_number 1
loop_
_symmetry_equiv_pos_as_xyz
'x,y,z'
loop_
_atom_site_label
_atom_site_fract_x
_atom_site_fract_y
_atom_site_fract_z
Ag1 0.5000 0.2549 0.2470
Ag2 0.0000 0.9955 0.0031
Os1 0.0000 0.4727 0.5364
Tc1 0.5000 0.7770 0.7136

[2]
# PBE-GGA TcAg3Os, relaxed
# - Excess energy over the best structure of this formula in the dataset: 0 meV per atom
# - Energy relative to the elements: 10.47 eV per formula unit
data_TcAg3Os
_cell_length_a 5.0169
_cell_length_b 5.0169
_cell_length_c 5.0169
_cell_angle_alpha 90.00
_cell_angle_beta 90.00
_cell_angle_gamma 90.00
_symmetry_space_group_name_H-M 'P 1'
_symmetry_Int_Tables_number 1
loop_
_symmetry_equiv_pos_as_xyz
'x,y,z'
loop_
_atom_site_label
_atom_site_fract_x
_atom_site_fract_y
_atom_site_fract_z
Ag1 0.0000 0.0000 0.5000
Os1 0.0000 0.0000 0.0000
Ag2 0.5000 0.0000 0.0000
Ag3 0.0000 0.5000 0.0000
Tc1 0.5000 0.5000 0.5000

[3]
# PBE-GGA ZrTcAgOs2, relaxed
# - Energy relative to the elements: 12.46 eV per formula unit
data_ZrTcAgOs2
_cell_length_a 4.7548
_cell_length_b 4.8032
_cell_length_c 4.7548
_cell_angle_alpha 90.00
_cell_angle_beta 90.00
_cell_angle_gamma 90.00
_symmetry_space_group_name_H-M 'P 1'
_symmetry_Int_Tables_number 1
loop_
_symmetry_equiv_pos_as_xyz
'x,y,z'
loop_
_atom_site_label
_atom_site_fract_x
_atom_site_fract_y
_atom_site_fract_z
Zr1 0.0000 0.5000 0.0000
Os1 0.0000 0.0000 0.5000
Ag1 0.0000 0.0000 0.0000
Os2 0.5000 0.0000 0.0000
Tc1 0.5000 0.5000 0.5000

[4]
# PBE-GGA Ag2TeOs, relaxed
# - Raw formation energy: 0.5918 eV per atom
data_Ag2TeOs
_cell_length_a 4.9255
_cell_length_b 4.9255
_cell_length_c 5.1294
_cell_angle_alpha 77.18
_cell_angle_beta 77.18
_cell_angle_gamma 38.69
_symmetry_space_group_name_H-M 'P 1'
_symmetry_Int_Tables_number 1
loop_
_symmetry_equiv_pos_as_xyz
'x,y,z'
loop_
_atom_site_label
_atom_site_fract_x
_atom_site_fract_y
_atom_site_fract_z
Os1 0.5033 0.5033 0.4537
Ag1 0.0077 0.0077 0.9618
Te1 0.2296 0.2296 0.3132
Ag2 0.7593 0.7593 0.7713

[5]
# PBE-GGA Ag2TeOs, relaxed
# - Raw formation energy: 0.6051 eV per atom
data_Ag2TeOs
_cell_length_a 6.6562
_cell_length_b 6.6562
_cell_length_c 6.6562
_cell_angle_alpha 152.95
_cell_angle_beta 140.31
_cell_angle_gamma 48.70
_symmetry_space_group_name_H-M 'P 1'
_symmetry_Int_Tables_number 1
loop_
_symmetry_equiv_pos_as_xyz
'x,y,z'
loop_
_atom_site_label
_atom_site_fract_x
_atom_site_fract_y
_atom_site_fract_z
Os1 0.4827 0.4827 0.0000
Te1 0.3143 0.8143 0.5000
Ag1 0.0233 0.0233 0.0000
Ag2 0.6798 0.1798 0.5000

[6]
# PBE-GGA Ag2TeOs, relaxed
# - Raw formation energy: 0.9161 eV per atom
data_Ag2TeOs
_cell_length_a 7.8860
_cell_length_b 7.8860
_cell_length_c 6.1754
_cell_angle_alpha 50.32
_cell_angle_beta 50.32
_cell_angle_gamma 90.00
_symmetry_space_group_name_H-M 'P 1'
_symmetry_Int_Tables_number 1
loop_
_symmetry_equiv_pos_as_xyz
'x,y,z'
loop_
_atom_site_label
_atom_site_fract_x
_atom_site_fract_y
_atom_site_fract_z
Ag1 0.1100 0.6250 0.2500
Ag2 0.3750 0.3600 0.7500
Te1 0.2500 0.7500 0.5000
Te2 0.5000 0.5000 0.0000
Os1 0.7500 0.2500 0.5000
Os2 0.0000 0.0000 0.0000
Ag3 0.6400 0.1250 0.2500
Ag4 0.8750 0.8900 0.7500

[7]
# PBE-GGA Ag2TeOs, relaxed
# - Raw formation energy: 0.7045 eV per atom
data_Ag2TeOs
_cell_length_a 3.9277
_cell_length_b 3.9277
_cell_length_c 4.7787
_cell_angle_alpha 90.00
_cell_angle_beta 90.00
_cell_angle_gamma 90.00
_symmetry_space_group_name_H-M 'P 1'
_symmetry_Int_Tables_number 1
loop_
_symmetry_equiv_pos_as_xyz
'x,y,z'
loop_
_atom_site_label
_atom_site_fract_x
_atom_site_fract_y
_atom_site_fract_z
Ag1 0.5000 0.5000 0.0000
Te1 0.0000 0.5000 0.5000
Ag2 0.0000 0.0000 0.0000
Os1 0.5000 0.0000 0.5000

[8]
# PBE-GGA Ag2TeOs, relaxed
# - Raw formation energy: 0.6889 eV per atom
data_Ag2TeOs
_cell_length_a 5.7446
_cell_length_b 5.7446
_cell_length_c 5.7446
_cell_angle_alpha 146.54
_cell_angle_beta 134.55
_cell_angle_gamma 57.60
_symmetry_space_group_name_H-M 'P 1'
_symmetry_Int_Tables_number 1
loop_
_symmetry_equiv_pos_as_xyz
'x,y,z'
loop_
_atom_site_label
_atom_site_fract_x
_atom_site_fract_y
_atom_site_fract_z
Os1 0.7500 0.2500 0.5000
Te1 0.2500 0.7500 0.5000
Ag1 0.9938 0.9938 0.0000
Ag2 0.5062 0.5062 0.0000

[9]
# PBE-GGA Ag2TeOs, relaxed
# - Raw formation energy: 0.7686 eV per atom
data_Ag2TeOs
_cell_length_a 2.9224
_cell_length_b 2.9224
_cell_length_c 9.5582
_cell_angle_alpha 90.00
_cell_angle_beta 90.00
_cell_angle_gamma 90.00
_symmetry_space_group_name_H-M 'P 1'
_symmetry_Int_Tables_number 1
loop_
_symmetry_equiv_pos_as_xyz
'x,y,z'
loop_
_atom_site_label
_atom_site_fract_x
_atom_site_fract_y
_atom_site_fract_z
Ag1 0.0000 0.0000 0.4589
Te1 0.5000 0.5000 0.7500
Ag2 0.0000 0.0000 0.0411
Os1 0.5000 0.5000 0.2500

[10]
# PBE-GGA Ag2TeOs, relaxed
# - Raw formation energy: 0.4408 eV per atom
data_Ag2TeOs
_cell_length_a 3.1694
_cell_length_b 3.1694
_cell_length_c 7.9220
_cell_angle_alpha 90.00
_cell_angle_beta 90.00
_cell_angle_gamma 90.00
_symmetry_space_group_name_H-M 'P 1'
_symmetry_Int_Tables_number 1
loop_
_symmetry_equiv_pos_as_xyz
'x,y,z'
loop_
_atom_site_label
_atom_site_fract_x
_atom_site_fract_y
_atom_site_fract_z
Os1 0.0000 0.0000 0.5067
Ag1 0.5000 0.5000 0.2642
Ag2 0.0000 0.0000 0.0395
Te1 0.5000 0.5000 0.6895

[11]
# PBE-GGA Ag2TeOs, relaxed
# - Raw formation energy: 0.7166 eV per atom
data_Ag2TeOs
_cell_length_a 4.6988
_cell_length_b 4.6988
_cell_length_c 4.6988
_cell_angle_alpha 60.00
_cell_angle_beta 60.00
_cell_angle_gamma 60.00
_symmetry_space_group_name_H-M 'P 1'
_symmetry_Int_Tables_number 1
loop_
_symmetry_equiv_pos_as_xyz
'x,y,z'
loop_
_atom_site_label
_atom_site_fract_x
_atom_site_fract_y
_atom_site_fract_z
Ag1 0.2500 0.2500 0.2500
Te1 0.7500 0.7500 0.7500
Ag2 0.0000 0.0000 0.0000
Os1 0.5000 0.5000 0.5000

[12]
# PBE-GGA Ag2TeOs, relaxed
# - Raw formation energy: 0.7347 eV per atom
data_Ag2TeOs
_cell_length_a 5.2503
_cell_length_b 3.1572
_cell_length_c 4.5940
_cell_angle_alpha 89.97
_cell_angle_beta 90.00
_cell_angle_gamma 90.00
_symmetry_space_group_name_H-M 'P 1'
_symmetry_Int_Tables_number 1
loop_
_symmetry_equiv_pos_as_xyz
'x,y,z'
loop_
_atom_site_label
_atom_site_fract_x
_atom_site_fract_y
_atom_site_fract_z
Te1 0.5000 0.7500 0.7500
Ag1 0.0000 0.5038 0.4931
Ag2 0.0000 0.9962 0.0069
Os1 0.5000 0.2500 0.2500

[13]
# PBE-GGA Ag2TeOs, relaxed
# - Raw formation energy: 0.7889 eV per atom
data_Ag2TeOs
_cell_length_a 2.8517
_cell_length_b 4.6203
_cell_length_c 5.7670
_cell_angle_alpha 90.00
_cell_angle_beta 90.00
_cell_angle_gamma 90.00
_symmetry_space_group_name_H-M 'P 1'
_symmetry_Int_Tables_number 1
loop_
_symmetry_equiv_pos_as_xyz
'x,y,z'
loop_
_atom_site_label
_atom_site_fract_x
_atom_site_fract_y
_atom_site_fract_z
Te1 0.5000 0.5000 0.7500
Ag1 0.0000 0.0000 0.0189
Ag2 0.0000 0.0000 0.4811
Os1 0.5000 0.5000 0.2500

[14]
# PBE-GGA Ag2TeOs, relaxed
# - Raw formation energy: 0.7086 eV per atom
data_Ag2TeOs
_cell_length_a 10.5308
_cell_length_b 10.5308
_cell_length_c 10.5308
_cell_angle_alpha 16.09
_cell_angle_beta 16.09
_cell_angle_gamma 16.09
_symmetry_space_group_name_H-M 'P 1'
_symmetry_Int_Tables_number 1
loop_
_symmetry_equiv_pos_as_xyz
'x,y,z'
loop_
_atom_site_label
_atom_site_fract_x
_atom_site_fract_y
_atom_site_fract_z
Ag1 0.9904 0.9904 0.9904
Te1 0.7500 0.7500 0.7500
Ag2 0.5096 0.5096 0.5096
Os1 0.2500 0.2500 0.2500

Q: Which M_tot values were calculated for the entries above? A: 0.0000, 1.2237, 0.5363, 0.0000, 0.0000, 0.4649, 0.0000, 0.0001, 0.4478, 0.0000, 0.0000, 0.2102, 0.0001, 0.1279, in μB per atom.
Q: Which uncorrected energy values were calculated for the entries above? A: -0.470, -0.289, -0.467, -0.325, -0.324, -0.302, -0.317, -0.318, -0.312, -0.336, -0.316, -0.315, -0.311, -0.317, in Ry/atom.